(1)
VASP calculation (GGA-PBE) on a relaxed structure of LaBeSbSe2.

a = 5.680 Å, b = 5.680 Å, c = 5.388 Å
α = 90.00°, β = 90.00°, γ = 90.00°
Space group P4/mmm (No. 123)
Unique sites:
1 La 0.000 0.000 0.000
2 Be 0.000 0.000 0.500
3 Sb 0.500 0.500 0.500
4 Se 0.000 0.500 0.000

Values from the calculation:
Formation energy without anion corrections (eV per formula unit): 2.38

(2)
VASP calculation (GGA-PBE) on a relaxed structure of VGa4Tc.

a = 5.371 Å, b = 12.559 Å, c = 2.845 Å
α = 90.00°, β = 90.00°, γ = 90.00°
Space group Cmmm (No. 65)
Unique sites:
1 V 0.000 0.000 0.000
2 Ga 0.248 0.150 0.500
3 Tc 0.000 0.500 0.000

Values from the calculation:
E_tot (eV per formula unit): -32.32

We obtain total magnetic moment values of 1.06; 0.54 μB per formula unit for the records listed above, in that order.